No. 1
Tb2PrTmIn4 (PBE, relaxed); space-group type = No. 166; ΔH_f (0 K) = -3.69 eV per formula unit
1.0
2.678 1.546 8.790
-2.678 1.546 8.790
0.000 -3.093 8.790
Tb Pr Tm In
2 1 1 4
direct
0.249 0.249 0.249
0.751 0.751 0.751
0.000 0.000 0.000
0.500 0.500 0.500
0.127 0.127 0.127
0.377 0.377 0.377
0.623 0.623 0.623
0.873 0.873 0.873

No. 2
LaBPd6 (PBE, relaxed); space-group type = No. 166; ΔH_f (0 K) = -3.57 eV per formula unit
1.0
2.849 1.645 5.036
-2.849 1.645 5.036
0.000 -3.290 5.036
La B Pd
1 1 6
direct
0.000 0.000 0.000
0.500 0.500 0.500
0.076 0.595 0.595
0.405 0.405 0.924
0.405 0.924 0.405
0.595 0.076 0.595
0.595 0.595 0.076
0.924 0.405 0.405

No. 3
LaP2Ir (PBE, relaxed); space-group type = No. 44; ΔH_f (0 K) = -2.48 eV per formula unit
1.0
3.509 0.000 0.000
0.000 3.627 0.000
0.000 0.000 12.224
La P Ir
2 4 2
direct
0.000 0.000 0.000
0.500 0.500 0.500
0.000 0.000 0.620
0.000 0.500 0.809
0.500 0.000 0.309
0.500 0.500 0.120
0.000 0.500 0.246
0.500 0.000 0.746

No. 4
ThPaCr (PBE, relaxed); space-group type = No. 148; ΔH_f (0 K) = 1.01 eV per formula unit
1.0
5.730 3.309 3.941
-5.730 3.309 3.941
0.000 -6.617 3.941
Th Pa Cr
6 6 6
direct
0.187 0.376 0.550
0.376 0.550 0.187
0.450 0.813 0.624
0.550 0.187 0.376
0.624 0.450 0.813
0.813 0.624 0.450
0.066 0.703 0.883
0.117 0.934 0.297
0.297 0.117 0.934
0.703 0.883 0.066
0.883 0.066 0.703
0.934 0.297 0.117
0.120 0.832 0.639
0.168 0.361 0.880
0.361 0.880 0.168
0.639 0.120 0.832
0.832 0.639 0.120
0.880 0.168 0.361

No. 5
Zr2AgN3 (PBE, relaxed); ΔE_f (raw) = -1044 meV/atom; space-group type = No. 152
1.0
3.342 0.000 0.000
-1.671 2.894 0.000
0.000 0.000 26.704
Zr Ag N
6 3 9
direct
0.010 0.676 0.446
0.324 0.334 0.779
0.334 0.324 0.221
0.666 0.990 0.113
0.676 0.010 0.554
0.990 0.666 0.887
0.000 0.673 0.667
0.327 0.327 0.000
0.673 0.000 0.333
0.000 0.657 0.167
0.010 0.677 0.588
0.323 0.333 0.921
0.333 0.323 0.079
0.343 0.343 0.500
0.657 0.000 0.833
0.667 0.990 0.254
0.677 0.010 0.412
0.990 0.667 0.746

No. 6
MnCd3B (PBE, relaxed); space-group type = No. 221; ΔH_f (0 K) = 3.70 eV per formula unit; E above lowest polymorph = 0 kJ/mol of formula units
1.0
4.595 0.000 0.000
0.000 4.595 0.000
0.000 0.000 4.595
Mn Cd B
1 3 1
direct
0.000 0.000 0.000
0.000 0.500 0.500
0.500 0.000 0.500
0.500 0.500 0.000
0.500 0.500 0.500

No. 7
In2HgMo (PBE, relaxed); space-group type = No. 123; ΔH_f (0 K) = 1.78 eV per formula unit
1.0
4.409 0.000 0.000
0.000 4.409 0.000
0.000 0.000 4.191
In Hg Mo
2 1 1
direct
0.000 0.500 0.000
0.500 0.000 0.000
0.000 0.000 0.500
0.500 0.500 0.500

No. 8
DyNbSi2Ru (PBE, relaxed); ΔE_f (raw) = -678 meV/atom; space-group type = No. 119
1.0
4.028 0.000 0.000
0.000 4.028 0.000
0.000 0.000 10.968
Dy Nb Si Ru
2 2 4 2
direct
0.000 0.000 0.000
0.500 0.500 0.500
0.000 0.500 0.250
0.500 0.000 0.750
0.000 0.000 0.391
0.000 0.000 0.609
0.500 0.500 0.109
0.500 0.500 0.891
0.000 0.500 0.750
0.500 0.000 0.250

The DOS at the Fermi energy results, record by record, are as follows: 0.440; 0.526; 0.152; 1.174; 0.000; 0.604; 0.631; 0.647 states/eV per atom.